Here is an optimized crystal structure of LiMg5Sn5 from Alexandria via LeMat-Bulk. Energies are from PBE.

As for the total energy: -2.71 eV/atom. Its total magnetization is 0.000 μB/cell. For the mass density, the calculation gives 3.94 g/cm³. Its calculated volume is 27.63 A^3/atom.

The space group is C2/m (No. 12) and the conventional cell measures 12.709, 5.437 and 9.911 Å, with angles of 90.00, 117.42 and 90.00 degrees. The inequivalent atoms are Li at (0.000, 0.000, 0.000), Mg at (0.000, 0.000, 0.500), Mg at (0.212, 0.500, 0.848), Mg at (0.221, 0.500, 0.295), Sn at (0.000, 0.500, 0.000), Sn at (0.108, 0.000, 0.827) and Sn at (0.165, 0.000, 0.360).

Here is an optimized crystal structure of Cs2NaBeBr6 from Alexandria via LeMat-Bulk. Energies are from PBE.

For the formation energy from raw total energies, the calculation gives -1.18 eV per atom. As for the total energy: -2.86 eV/atom. Its total magnetization is 0.019 μB/cell. For the mass density, the calculation gives 3.97 g/cm³. Its calculated volume is 32.52 A^3/atom.

The space group is I4/mmm (No. 139) and the conventional cell measures 7.714, 7.714 and 10.931 Å, with angles of 90.00, 90.00 and 90.00 degrees. The inequivalent atoms are Cs at (0.000, 0.500, 0.250), Na at (0.000, 0.000, 0.000), Be at (0.000, 0.000, 0.500), Br at (0.000, 0.000, 0.273) and Br at (0.226, 0.226, 0.500).

Here is an optimized crystal structure of Tb2DyHoSe5 from Alexandria via LeMat-Bulk. Energies are from PBE.

For the formation energy from raw total energies, the calculation gives -1.14 eV per atom. As for the total energy: -5.12 eV/atom. Its total magnetization is 0.030 μB/cell. For the mass density, the calculation gives 6.13 g/cm³. Its calculated volume is 31.30 A^3/atom.

The space group is P4/mmm (No. 123) and the conventional cell measures 5.127, 5.127 and 10.719 Å, with angles of 90.00, 90.00 and 90.00 degrees. The inequivalent atoms are Tb at (0.000, 0.000, 0.162), Dy at (0.500, 0.500, 0.500), Ho at (0.500, 0.500, 0.000), Se at (0.000, 0.000, 0.500), Se at (0.000, 0.500, 0.000) and Se at (0.500, 0.500, 0.253).

Here is an optimized crystal structure of ReAgPt from Alexandria via LeMat-Bulk. Energies are from PBE.

As for the total energy: -6.88 eV/atom. Its total magnetization is 0.000 μB/cell. As for the energy relative to the lowest polymorph listed for this composition: 285 meV/atom. For the mass density, the calculation gives 16.88 g/cm³. Its calculated volume is 16.04 A^3/atom.

The space group is I4mm (No. 107) and the conventional cell measures 2.789, 2.789 and 12.369 Å, with angles of 90.00, 90.00 and 90.00 degrees. The inequivalent atoms are Re at (0.000, 0.000, 0.000), Ag at (0.000, 0.000, 0.675) and Pt at (0.000, 0.000, 0.354).

Here is an optimized crystal structure of LiTbNdHo from Alexandria via LeMat-Bulk. Energies are from PBE.

As for the total energy: -3.81 eV/atom. Its total magnetization is 0.000 μB/cell. For the mass density, the calculation gives 6.59 g/cm³. Its calculated volume is 29.93 A^3/atom.

The space group is F-43m (No. 216) and the conventional cell measures 7.824, 7.824 and 7.824 Å, with angles of 90.00, 90.00 and 90.00 degrees. The inequivalent atoms are Li at (0.000, 0.000, 0.000), Tb at (0.250, 0.250, 0.750), Nd at (0.250, 0.250, 0.250) and Ho at (0.000, 0.000, 0.500).

Here is an optimized crystal structure of Be2Ni from Alexandria via LeMat-Bulk. Energies are from PBE.

As for the total energy: -4.47 eV/atom. Its total magnetization is 0.000 μB/cell. For the mass density, the calculation gives 4.53 g/cm³. Its calculated volume is 9.38 A^3/atom.

The space group is P-62m (No. 189) and the conventional cell measures 5.2022, 5.2022 and 3.6031 Å, with angles of 90.00, 90.00 and 120.00 degrees. The inequivalent atoms are Be at (0.0000, 0.2295, 0.0000), Be at (0.0000, 0.5271, 0.5000), Ni at (0.0000, 0.0000, 0.5000) and Ni at (0.3333, 0.6667, 0.0000).

Here is an optimized crystal structure of Na3ZrBi2S6 from Alexandria via LeMat-Bulk. Energies are from PBE.

For the formation energy from raw total energies, the calculation gives -0.94 eV per atom. As for the total energy: -4.69 eV/atom. Its total magnetization is 1.637 μB/cell. For the mass density, the calculation gives 4.53 g/cm³. Its calculated volume is 23.54 A^3/atom.

The space group is C2/m (No. 12) and the conventional cell measures 7.026, 12.226 and 6.989 Å, with angles of 90.00, 109.78 and 90.00 degrees. The inequivalent atoms are Na at (0.000, 0.000, 0.000), Na at (0.000, 0.329, 0.000), Zr at (0.000, 0.500, 0.500), Bi at (0.000, 0.166, 0.500), S at (0.231, 0.345, 0.726) and S at (0.234, 0.500, 0.275).